(1)
# Ho3Rh4Pb

An optimized crystal structure of Ho3Rh4Pb (PBE, Alexandria via LeMat-Bulk).

a = 4.7849 Å, b = 4.7849 Å, c = 23.5230 Å
α = 90.00°, β = 90.00°, γ = 120.00°
Space group R-3m (No. 166, hexagonal axes)
Symmetry-distinct sites (fractional):
Ho1 0.0000 0.0000 0.0000 (multiplicity 3)
Ho2 0.0000 0.0000 0.2463 (multiplicity 6)
Rh1 0.0000 0.0000 0.1215 (multiplicity 6)
Rh2 0.0000 0.0000 0.3740 (multiplicity 6)
Pb1 0.0000 0.0000 0.5000 (multiplicity 3)

- DFT formation energy (kJ/mol of formula units) = -566
- total magnetization (μB/cell) = 0.000
- ρ (g/cm³) = 11.9



(2)
# Ho3RhPb2

An optimized crystal structure of Ho3RhPb2 (PBE, Alexandria via LeMat-Bulk).

a = 14.318 Å, b = 6.199 Å, c = 7.350 Å
α = 90.00°, β = 105.31°, γ = 90.00°
Space group C2/c (No. 15)
Symmetry-distinct sites (fractional):
Ho1 0.000 0.190 0.250 (multiplicity 4)
Ho2 0.155 0.414 0.620 (multiplicity 8)
Rh1 0.000 0.350 0.750 (multiplicity 4)
Pb1 0.156 0.096 0.022 (multiplicity 8)

- DFT formation energy (kJ/mol of formula units) = -285
- total magnetization (μB/cell) = 0.000
- ρ (g/cm³) = 10.7
- energy above the most stable polymorph in this dataset (eV/f.u.) = 0.70



(3)
# Ho2Rh4Pb

An optimized crystal structure of Ho2Rh4Pb (PBE, Alexandria via LeMat-Bulk).

a = 4.6083 Å, b = 4.6083 Å, c = 22.8428 Å
α = 90.00°, β = 90.00°, γ = 120.00°
Space group R-3m (No. 166, hexagonal axes)
Symmetry-distinct sites (fractional):
Ho1 0.0000 0.0000 0.2426 (multiplicity 6)
Rh1 0.0000 0.0000 0.1233 (multiplicity 6)
Rh2 0.0000 0.0000 0.3741 (multiplicity 6)
Pb1 0.0000 0.0000 0.0000 (multiplicity 3)

- DFT formation energy (kJ/mol of formula units) = -243
- total magnetization (μB/cell) = 0.000
- ρ (g/cm³) = 11.2



(4)
# Ho2RhPb

An optimized crystal structure of Ho2RhPb (PBE, Alexandria via LeMat-Bulk).

a = 3.7882 Å, b = 3.7882 Å, c = 25.7437 Å
α = 90.00°, β = 90.00°, γ = 120.00°
Space group R-3m (No. 166, hexagonal axes)
Symmetry-distinct sites (fractional):
Ho1 0.0000 0.0000 0.2311 (multiplicity 6)
Rh1 0.0000 0.0000 0.5000 (multiplicity 3)
Pb1 0.0000 0.0000 0.0000 (multiplicity 3)

- DFT formation energy (kJ/mol of formula units) = -221
- total magnetization (μB/cell) = 0.000
- ρ (g/cm³) = 10.0
- energy above the most stable polymorph in this dataset (eV/f.u.) = 0.49



(5)
# Ho8Rh2Pb

An optimized crystal structure of Ho8Rh2Pb (PBE, Alexandria via LeMat-Bulk).

a = 8.643 Å, b = 13.269 Å, c = 5.469 Å
α = 90.00°, β = 104.45°, γ = 90.00°
Space group C2/m (No. 12)
Symmetry-distinct sites (fractional):
Ho1 0.000 0.247 0.000 (multiplicity 4)
Ho2 0.106 0.500 0.802 (multiplicity 4)
Ho3 0.204 0.128 0.577 (multiplicity 8)
Rh1 0.000 0.304 0.500 (multiplicity 4)
Pb1 0.000 0.000 0.000 (multiplicity 2)

- DFT formation energy (kJ/mol of formula units) = -428
- total magnetization (μB/cell) = 0.002
- ρ (g/cm³) = 9.5



(6)
# Ho2Rh4Pb3

An optimized crystal structure of Ho2Rh4Pb3 (PBE, Alexandria via LeMat-Bulk).

a = 6.108 Å, b = 17.500 Å, c = 7.088 Å
α = 90.00°, β = 90.00°, γ = 90.00°
Space group Cmce (No. 64)
Symmetry-distinct sites (fractional):
Ho1 0.000 0.098 0.088 (multiplicity 8)
Rh1 0.000 0.158 0.456 (multiplicity 8)
Rh2 0.250 0.077 0.750 (multiplicity 8)
Pb1 0.000 0.000 0.500 (multiplicity 4)
Pb2 0.250 0.236 0.750 (multiplicity 8)

- DFT formation energy (kJ/mol of formula units) = -372
- total magnetization (μB/cell) = 0.000
- ρ (g/cm³) = 11.9



(7)
# Ho2RhPb

An optimized crystal structure of Ho2RhPb (PBE, Alexandria via LeMat-Bulk).

a = 3.474 Å, b = 3.474 Å, c = 7.984 Å
α = 90.00°, β = 90.00°, γ = 90.00°
Space group P4/mmm (No. 123)
Symmetry-distinct sites (fractional):
Ho1 0.000 0.000 0.207 (multiplicity 2)
Rh1 0.500 0.500 0.000 (multiplicity 1)
Pb1 0.500 0.500 0.500 (multiplicity 1)

- DFT formation energy (kJ/mol of formula units) = -268
- total magnetization (μB/cell) = 0.000
- ρ (g/cm³) = 11.0
- energy above the most stable polymorph in this dataset (eV/f.u.) = 0.00



(8)
# Ho3Rh2Pb

An optimized crystal structure of Ho3Rh2Pb (PBE, Alexandria via LeMat-Bulk).

a = 3.409 Å, b = 3.409 Å, c = 11.680 Å
α = 90.00°, β = 90.00°, γ = 90.00°
Space group P4/mmm (No. 123)
Symmetry-distinct sites (fractional):
Ho1 0.000 0.000 0.000 (multiplicity 1)
Ho2 0.000 0.000 0.293 (multiplicity 2)
Rh1 0.500 0.500 0.151 (multiplicity 2)
Pb1 0.500 0.500 0.500 (multiplicity 1)

- DFT formation energy (kJ/mol of formula units) = -438
- total magnetization (μB/cell) = 0.000
- ρ (g/cm³) = 11.1



(9)
# Ho6RhPb2

An optimized crystal structure of Ho6RhPb2 (PBE, Alexandria via LeMat-Bulk).

a = 5.199 Å, b = 7.118 Å, c = 14.906 Å
α = 90.00°, β = 90.00°, γ = 90.00°
Space group Immm (No. 71)
Symmetry-distinct sites (fractional):
Ho1 0.000 0.227 0.000 (multiplicity 4)
Ho2 0.000 0.258 0.352 (multiplicity 8)
Rh1 0.000 0.500 0.500 (multiplicity 2)
Pb1 0.000 0.500 0.175 (multiplicity 4)

- DFT formation energy (kJ/mol of formula units) = -288
- total magnetization (μB/cell) = 0.000
- ρ (g/cm³) = 9.1



(10)
# Ho2Rh3Pb3

An optimized crystal structure of Ho2Rh3Pb3 (PBE, Alexandria via LeMat-Bulk).

a = 8.0958 Å, b = 8.0958 Å, c = 6.3674 Å
α = 90.00°, β = 90.00°, γ = 120.00°
Space group P6_3/mcm (No. 193)
Symmetry-distinct sites (fractional):
Ho1 0.3333 0.6667 0.0000 (multiplicity 4)
Rh1 0.0000 0.3899 0.2500 (multiplicity 6)
Pb1 0.0000 0.2626 0.7500 (multiplicity 6)

- DFT formation energy (kJ/mol of formula units) = -324
- total magnetization (μB/cell) = 0.000
- ρ (g/cm³) = 11.6



(11)
# HoRhPb2

An optimized crystal structure of HoRhPb2 (PBE, Alexandria via LeMat-Bulk).

a = 4.659 Å, b = 4.659 Å, c = 17.761 Å
α = 90.00°, β = 90.00°, γ = 90.00°
Space group I4/mmm (No. 139)
Symmetry-distinct sites (fractional):
Ho1 0.000 0.000 0.147 (multiplicity 4)
Rh1 0.000 0.500 0.250 (multiplicity 4)
Pb1 0.000 0.000 0.347 (multiplicity 4)
Pb2 0.000 0.500 0.000 (multiplicity 4)

- DFT formation energy (kJ/mol of formula units) = -162
- total magnetization (μB/cell) = 0.000
- ρ (g/cm³) = 11.8



(12)
# Ho4Rh2Pb5

An optimized crystal structure of Ho4Rh2Pb5 (PBE, Alexandria via LeMat-Bulk).

a = 8.061 Å, b = 3.602 Å, c = 9.813 Å
α = 90.00°, β = 93.65°, γ = 90.00°
Space group P2/m (No. 10)
Symmetry-distinct sites (fractional):
Ho1 0.197 0.000 0.431 (multiplicity 2)
Ho2 0.199 0.000 0.839 (multiplicity 2)
Rh1 0.085 0.500 0.637 (multiplicity 2)
Pb1 0.140 0.500 0.133 (multiplicity 2)
Pb2 0.461 0.500 0.661 (multiplicity 2)
Pb3 0.500 0.500 0.000 (multiplicity 1)

- DFT formation energy (kJ/mol of formula units) = -606
- total magnetization (μB/cell) = 0.000
- ρ (g/cm³) = 11.1